Here is a relaxed structure of CaMnTeI2 from the Alexandria database. Energies are from PBE.

Output
Energy relative to the elements, uncorrected: -0.48 eV/atom
Symmetry: No. 123
Crystal system: tetragonal
Excess energy over the best structure of this formula in the dataset: 0.000 kcal/mol of atoms
Raw total energy: -19.8 eV per cell

Cell lengths 5.5453, 5.5453, 5.6391 Å; angles 90.00, 90.00, 90.00 degrees
Fractional coordinates of all 5 atoms:
Ca 0.0000 0.0000 0.0000
Mn 0.5000 0.5000 0.5000
Te 0.5000 0.5000 0.0000
I 0.0000 0.5000 0.5000
I 0.5000 0.0000 0.5000